[1]
# AcPm6Pr3Dy2

A geometry-optimized AcPm6Pr3Dy2 structure (PBE, the Alexandria database).

**D(E_F)**: 1.487 states/eV/atom
**ΔH_f (0 K)**: 0.024 eV per atom
**Magnetization**: 0.000 μB per atom

Lattice parameters (Å, degrees): 6.3605 6.3605 12.2231 94.99 94.99 119.96
Last column: nearest neighbours and their distance in Å.
Fractional coordinates of all 12 atoms:
1 Ac 0.0000 0.0000 0.0000  6 Dy 3.67, 6 Pm 3.69
2 Pm 0.9166 0.5801 0.7503  6 Pm 3.65-3.71, 3 Pr 3.67-3.69, 2 Dy 3.67, 1 Ac 3.69
3 Pm 0.7471 0.7471 0.2500  6 Pm 3.65-3.71, 3 Pr 3.67-3.69, 2 Dy 3.68, 1 Ac 3.69
4 Pm 0.0834 0.4199 0.2497  6 Pm 3.65-3.71, 3 Pr 3.67-3.69, 2 Dy 3.67, 1 Ac 3.69
5 Pm 0.5801 0.9166 0.7503  6 Pm 3.65-3.71, 3 Pr 3.67-3.69, 2 Dy 3.67, 1 Ac 3.69
6 Pm 0.2529 0.2529 0.7500  6 Pm 3.65-3.71, 3 Pr 3.67-3.69, 2 Dy 3.68, 1 Ac 3.69
7 Pm 0.4199 0.0834 0.2497  6 Pm 3.65-3.71, 3 Pr 3.67-3.69, 2 Dy 3.67, 1 Ac 3.69
8 Pr 0.1671 0.8329 0.5000  6 Pr 3.67-3.68, 6 Pm 3.67-3.69
9 Pr 0.8329 0.1671 0.5000  6 Pr 3.67-3.68, 6 Pm 3.67-3.69
10 Pr 0.5000 0.5000 0.5000  6 Pr 3.67-3.68, 6 Pm 3.67-3.69
11 Dy 0.3334 0.6666 0.0000  3 Dy 3.67, 3 Ac 3.67, 6 Pm 3.67-3.68
12 Dy 0.6666 0.3334 0.0000  3 Dy 3.67, 3 Ac 3.67, 6 Pm 3.67-3.68

[2]
# GaCoHg2Pt

A geometry-optimized GaCoHg2Pt structure (PBE, the Alexandria database).

**D(E_F)**: 2.025 states/eV/atom
**ΔH_f (0 K)**: 0.636 eV per atom
**Magnetization**: 0.472 μB per atom

Lattice parameters (Å, degrees): 5.2676 4.7282 5.2676 90.00 90.00 90.00
Last column: nearest neighbours and their distance in Å.
Fractional coordinates of all 5 atoms:
1 Ga 0.0000 0.5000 0.0000  2 Pt 2.36
2 Co 0.5000 0.5000 0.5000  8 Hg 3.54, 4 Ga 3.72
3 Hg 0.0000 0.0000 0.5000  2 Pt 2.63
4 Hg 0.5000 0.0000 0.0000  2 Pt 2.63
5 Pt 0.0000 0.0000 0.0000  2 Ga 2.36, 4 Hg 2.63

[3]
# Ce2NdSmAs4

A geometry-optimized Ce2NdSmAs4 structure (PBE, the Alexandria database).

**D(E_F)**: 1.361 states/eV/atom
**ΔH_f (0 K)**: -1.479 eV per atom
**Magnetization**: 0.155 μB per atom

Lattice parameters (Å, degrees): 4.2288 7.3238 7.3260 70.53 90.00 90.00
Last column: nearest neighbours and their distance in Å.
Fractional coordinates of all 8 atoms:
1 Ce 0.0000 0.0000 0.0000  6 As 2.98
2 Ce 0.5000 0.0000 0.5000  6 As 2.97
3 Nd 0.5000 0.5000 0.0000  6 As 3.02
4 Sm 0.0000 0.5000 0.5000  6 As 3.00
5 As 0.0000 0.7549 0.7466  3 Ce 2.97-2.98, 1 Sm 3.00, 2 Nd 3.02
6 As 0.0000 0.2451 0.2534  3 Ce 2.97-2.98, 1 Sm 3.00, 2 Nd 3.02
7 As 0.5000 0.7536 0.2505  3 Ce 2.97-2.98, 2 Sm 3.00, 1 Nd 3.02
8 As 0.5000 0.2464 0.7495  3 Ce 2.97-2.98, 2 Sm 3.00, 1 Nd 3.02

- What is the ΔH_f (0 K) in the third record?
  -1.479 eV per atom